Entry 1:
{
  "formula": "SrPmSn2",
  "functional": "GGA-PBE",
  "state": "relaxed",
  "e_form_ev_per_atom": -0.07,
  "mass_density_g_cm3": 5.522,
  "space_group": "No. 166",
  "total_energy_ev_per_cell": -14.7,
  "cell": [[-0.233, -3.442, 1.394], [2.037, -2.745, -1.471], [9.338, 0.391, 7.495]],
  "species": ["Sr", "Sn", "Pm", "Sn"],
  "fractional_positions": [[0.000, 0.000, 0.000], [0.094, 0.094, 0.718], [0.500, 0.500, 0.500], [0.906, 0.906, 0.282]]
}


Entry 2:
{
  "formula": "Tb4TlGeTe2",
  "functional": "GGA-PBE",
  "state": "relaxed",
  "raw_formation_energy_kj_per_mol_fu": -752.7,
  "mass_density_g_cm3": 8.354,
  "space_group": "No. 10",
  "total_energy_ev_per_cell": -39.6,
  "cell": [[-1.783, -3.360, -1.951], [5.541, -4.336, 2.403], [-5.627, -0.071, 5.262]],
  "species": ["Tb", "Te", "Tl", "Tb", "Te", "Ge", "Tb", "Tb"],
  "fractional_positions": [[0.500, 0.769, 0.772], [0.000, 0.500, 0.500], [0.500, 0.500, 0.000], [0.500, 0.231, 0.228], [0.500, 0.000, 0.500], [0.000, 0.000, 0.000], [0.000, 0.242, 0.759], [0.000, 0.758, 0.241]]
}


Entry 3:
{
  "formula": "PuHf4Zr7",
  "functional": "GGA-PBE",
  "state": "relaxed",
  "e_form_ev_per_atom": 0.02,
  "mass_density_g_cm3": 9.531,
  "space_group": "No. 2",
  "total_energy_ev_per_cell": -227.5,
  "cell": [[5.805, 1.726, 0.539], [1.906, 7.620, 3.294], [1.272, 8.498, 17.294]],
  "species": ["Pu", "Hf", "Zr", "Zr", "Hf", "Zr", "Zr", "Hf", "Hf", "Zr", "Hf", "Hf", "Zr", "Hf", "Zr", "Zr", "Zr", "Zr", "Zr", "Hf", "Pu", "Zr", "Zr", "Zr"],
  "fractional_positions": [[0.012, 0.208, 0.994], [0.014, 0.703, 0.244], [0.516, 0.286, 0.593], [0.512, 0.799, 0.338], [0.510, 0.799, 0.839], [0.015, 0.210, 0.825], [0.014, 0.201, 0.162], [0.009, 0.216, 0.323], [0.512, 0.297, 0.256], [0.511, 0.790, 0.675], [0.517, 0.783, 0.177], [0.011, 0.710, 0.742], [0.013, 0.705, 0.078], [0.016, 0.202, 0.661], [0.009, 0.714, 0.907], [0.512, 0.295, 0.422], [0.010, 0.215, 0.493], [0.516, 0.785, 0.007], [0.512, 0.288, 0.092], [0.515, 0.290, 0.758], [0.514, 0.792, 0.506], [0.014, 0.712, 0.408], [0.017, 0.704, 0.579], [0.509, 0.296, 0.921]]
}


Entry 4:
{
  "formula": "CsMg2BeSi",
  "functional": "GGA-PBE",
  "state": "relaxed",
  "raw_formation_energy_kj_per_mol_fu": 429.8,
  "mass_density_g_cm3": 2.477,
  "space_group": "No. 123",
  "total_energy_ev_per_cell": -8.7,
  "cell": [[-4.966, -0.098, -0.730], [-0.749, -2.091, 5.373], [-0.354, 4.684, 1.774]],
  "species": ["Si", "Mg", "Mg", "Be", "Cs"],
  "fractional_positions": [[0.500, 0.500, 0.500], [0.000, 0.000, 0.500], [0.500, 0.000, 0.000], [0.000, 0.000, 0.000], [0.000, 0.500, 0.000]]
}